Below is crystalline TbPaPdPt at its relaxed geometry, with properties calculated at the PBE level.

Results
As for the total magnetization: 0.759 μB per formula unit. The total energy comes out at -7.085 eV per atom. The space-group type is F-43m (216).

a = 4.9752 Å, b = 4.9752 Å, c = 4.9752 Å
α = 60.00°, β = 60.00°, γ = 60.00°
Last column: nearest neighbours and their distance in Å.
Fractional positions:
Pd1 0.2500 0.2500 0.2500  4 Tb 3.05, 4 Pa 3.05
Pt1 0.7500 0.7500 0.7500  4 Tb 3.05, 4 Pa 3.05
Pa1 0.0000 0.0000 0.0000  4 Pt 3.05, 4 Pd 3.05
Tb1 0.5000 0.5000 0.5000  4 Pt 3.05, 4 Pd 3.05